## A
The following is a PBE calculation of a relaxed structure of Y4TmIn, from Alexandria via LeMat-Bulk.

a = 6.5061 Å, b = 6.2233 Å, c = 10.0599 Å
α = 99.05°, β = 108.86°, γ = 90.02°
Last column: nearest neighbours and their distance in Å.
Sites, in units of the cell vectors:
Y1 0.5421 0.0459 0.8350  1 In 3.26, 2 Tm 3.26-3.47, 4 Y 3.46-3.58
Y2 0.7070 0.4539 0.1650  1 In 3.26, 2 Tm 3.26-3.47, 4 Y 3.46-3.58
Y3 0.4579 0.9541 0.1650  1 In 3.26, 2 Tm 3.26-3.47, 4 Y 3.46-3.58
Y4 0.2930 0.5461 0.8350  1 In 3.26, 2 Tm 3.26-3.47, 4 Y 3.46-3.58
Y5 0.9846 0.9693 0.6751  2 In 3.10-3.18, 1 Tm 3.32, 1 Y 3.46
Y6 0.3092 0.5307 0.3247  2 In 3.10-3.18, 1 Tm 3.32, 1 Y 3.46
Y7 0.0154 0.0307 0.3249  2 In 3.10-3.18, 1 Tm 3.32, 1 Y 3.46
Y8 0.6908 0.4693 0.6753  2 In 3.10-3.18, 1 Tm 3.32, 1 Y 3.46
Tm1 0.9247 0.7500 0.0002  6 Y 3.26-3.47, 2 Tm 3.26
Tm2 0.0753 0.2500 0.9998  6 Y 3.26-3.47, 2 Tm 3.26
In1 0.5000 0.0000 0.5000  6 Y 3.10-3.26
In2 0.0000 0.5000 0.5000  6 Y 3.10-3.26

Output
Total moment, μB/cell: 0.00


## B
The following is a PBE calculation of a relaxed structure of Y4TmIn, from Alexandria via LeMat-Bulk.

a = 5.1514 Å, b = 5.1625 Å, c = 9.5704 Å
α = 74.36°, β = 74.39°, γ = 60.07°
Last column: nearest neighbours and their distance in Å.
Sites, in units of the cell vectors:
Y1 0.6214 0.6197 0.1376  3 Tm 3.23, 1 In 3.30
Y2 0.3786 0.3803 0.8624  3 Tm 3.23, 1 In 3.30
Y3 0.1243 0.1238 0.6277  3 In 3.20, 1 Tm 3.39
Y4 0.8757 0.8762 0.3723  3 In 3.20, 1 Tm 3.39
Tm1 0.0000 0.0000 0.0000  8 Y 3.23-3.39
In1 0.5000 0.5000 0.5000  8 Y 3.20-3.30

Output
Total moment, μB/cell: 0.00


Stability, highest: A


## A
The following is a PBE calculation of a relaxed structure of Y2Tm8In, from Alexandria via LeMat-Bulk.

a = 6.6962 Å, b = 9.7127 Å, c = 9.7127 Å
α = 39.44°, β = 58.98°, γ = 58.98°
Last column: nearest neighbours and their distance in Å.
Sites, in units of the cell vectors:
Y1 0.5691 0.8186 0.8186  9 Tm 3.37-3.71, 1 In 3.42
Y2 0.4309 0.1814 0.1814  9 Tm 3.37-3.71, 1 In 3.42
Tm1 0.2213 0.3370 0.8180  1 In 3.07, 5 Tm 3.15-3.40, 1 Y 3.37
Tm2 0.7787 0.1820 0.6630  1 In 3.07, 5 Tm 3.15-3.40, 1 Y 3.37
Tm3 0.1740 0.7541 0.7541  5 Tm 3.23-3.45, 4 Y 3.44-3.60
Tm4 0.8260 0.2459 0.2459  5 Tm 3.23-3.45, 4 Y 3.44-3.60
Tm5 0.2213 0.8180 0.3370  1 In 3.07, 5 Tm 3.15-3.40, 1 Y 3.37
Tm6 0.7787 0.6630 0.1820  1 In 3.07, 5 Tm 3.15-3.40, 1 Y 3.37
Tm7 0.7307 0.5961 0.5961  6 Tm 3.23-3.49, 1 Y 3.59
Tm8 0.2693 0.4039 0.4039  6 Tm 3.23-3.49, 1 Y 3.59
In1 0.0000 0.0000 0.0000  4 Tm 3.07, 2 Y 3.42

Output
Total moment, μB/cell: 0.00


## B
The following is a PBE calculation of a relaxed structure of Y2Tm8In, from Alexandria via LeMat-Bulk.

a = 5.4660 Å, b = 6.3412 Å, c = 9.9406 Å
α = 94.65°, β = 105.96°, γ = 90.00°
Last column: nearest neighbours and their distance in Å.
Sites, in units of the cell vectors:
Y1 0.7571 0.6690 0.5142  9 Tm 3.37-3.77, 2 Y 3.47
Y2 0.2429 0.3310 0.4858  9 Tm 3.37-3.77, 2 Y 3.47
Tm1 0.4212 0.4053 0.8423  1 In 3.09, 3 Tm 3.15-3.30, 1 Y 3.40
Tm2 0.6610 0.1219 0.3219  1 In 3.11, 2 Y 3.37, 2 Tm 3.39
Tm3 0.8478 0.1948 0.6957  5 Tm 3.30-3.56, 4 Y 3.54-3.63
Tm4 0.9548 0.7339 0.9096  2 In 3.29, 6 Tm 3.46-3.68
Tm5 0.1522 0.8052 0.3043  5 Tm 3.30-3.56, 4 Y 3.54-3.63
Tm6 0.3390 0.8781 0.6781  1 In 3.11, 2 Y 3.37, 2 Tm 3.39
Tm7 0.5788 0.5947 0.1577  1 In 3.09, 3 Tm 3.15-3.30, 1 Y 3.40
Tm8 0.0452 0.2661 0.0904  2 In 3.29, 6 Tm 3.46-3.68
In1 0.5000 0.0000 0.0000  8 Tm 3.09-3.29

Output
Total moment, μB/cell: 0.00


Stability, highest: B


## A
The following is a PBE calculation of a relaxed structure of Y6TmIn, from Alexandria via LeMat-Bulk.

a = 9.2042 Å, b = 8.6401 Å, c = 6.3114 Å
α = 46.81°, β = 43.18°, γ = 57.83°
Last column: nearest neighbours and their distance in Å.
Sites, in units of the cell vectors:
Y1 0.0343 0.4590 0.7488  2 Y 3.18-3.26, 1 In 3.21, 1 Tm 3.46
Y2 0.7579 0.9657 0.7354  2 Y 3.18-3.26, 1 In 3.21, 1 Tm 3.46
Y3 0.5409 0.2420 0.1830  2 Y 3.18-3.26, 1 In 3.22, 1 Tm 3.47
Y4 0.2421 0.0343 0.2646  2 Y 3.18-3.26, 1 In 3.21, 1 Tm 3.46
Y5 0.9657 0.5410 0.2512  2 Y 3.18-3.26, 1 In 3.21, 1 Tm 3.46
Y6 0.4591 0.7580 0.8170  2 Y 3.18-3.26, 1 In 3.22, 1 Tm 3.47
Tm1 0.5000 0.5000 0.5000  12 Y 3.46-3.64
In1 0.0000 0.0000 0.0000  6 Y 3.21-3.22

Output
Total moment, μB/cell: 0.01


## B
The following is a PBE calculation of a relaxed structure of Y6TmIn, from Alexandria via LeMat-Bulk.

a = 4.9167 Å, b = 4.9167 Å, c = 10.0580 Å
α = 90.00°, β = 90.00°, γ = 90.00°
Last column: nearest neighbours and their distance in Å.
Sites, in units of the cell vectors:
Y1 0.5000 0.5000 0.0000  4 In 3.48, 8 Y 3.48
Y2 0.5000 0.5000 0.5000  4 Tm 3.48, 8 Y 3.56
Y3 0.5000 0.0000 0.2446  8 Y 3.48-3.56, 2 In 3.48, 2 Tm 3.56
Y4 0.5000 0.0000 0.7554  8 Y 3.48-3.56, 2 In 3.48, 2 Tm 3.56
Y5 0.0000 0.5000 0.2446  8 Y 3.48-3.56, 2 In 3.48, 2 Tm 3.56
Y6 0.0000 0.5000 0.7554  8 Y 3.48-3.56, 2 In 3.48, 2 Tm 3.56
Tm1 0.0000 0.0000 0.5000  12 Y 3.48-3.56
In1 0.0000 0.0000 0.0000  12 Y 3.48

Output
Total moment, μB/cell: 0.00


Stability, highest: B


## A
The following is a PBE calculation of a relaxed structure of Tm2Zn3In, from Alexandria via LeMat-Bulk.

a = 3.5962 Å, b = 4.5467 Å, c = 8.4623 Å
α = 105.58°, β = 102.27°, γ = 90.00°
Last column: nearest neighbours and their distance in Å.
Sites, in units of the cell vectors:
Tm1 0.1407 0.1407 0.2815  10 Zn 3.04-3.37, 2 In 3.36
Tm2 0.8576 0.3576 0.7152  6 Zn 3.05-3.41, 4 In 3.34
Zn1 0.6975 0.6975 0.3950  3 Zn 2.40-2.43
Zn2 0.5448 0.5448 0.0896  1 Zn 2.43, 2 In 2.63
Zn3 0.2973 0.7973 0.5945  2 Zn 2.40, 1 In 2.62
In1 0.4621 0.9621 0.9242  3 Zn 2.62-2.63

Output
Total moment, μB/cell: 0.00


## B
The following is a PBE calculation of a relaxed structure of Tm2Zn3In, from Alexandria via LeMat-Bulk.

a = 5.7420 Å, b = 5.7420 Å, c = 8.6315 Å
α = 104.30°, β = 104.30°, γ = 104.91°
Last column: nearest neighbours and their distance in Å.
Sites, in units of the cell vectors:
Tm1 0.2500 0.7500 0.5000  4 In 3.17, 8 Zn 3.19-3.20, 2 Tm 3.50
Tm2 0.7568 0.7568 0.0000  10 Zn 3.07-3.21, 2 In 3.17, 1 Tm 3.40
Tm3 0.7500 0.2500 0.5000  4 In 3.17, 8 Zn 3.19-3.20, 2 Tm 3.50
Tm4 0.2432 0.2432 0.0000  10 Zn 3.07-3.21, 2 In 3.17, 1 Tm 3.40
Zn1 0.3239 0.8374 0.1613  2 Zn 2.54-2.56, 1 In 2.69
Zn2 0.1626 0.6761 0.8387  2 Zn 2.54-2.56, 1 In 2.69
Zn3 0.6761 0.1626 0.8387  2 Zn 2.54-2.56, 1 In 2.69
Zn4 0.8374 0.3239 0.1613  2 Zn 2.54-2.56, 1 In 2.69
Zn5 0.1622 0.1622 0.3245  2 Zn 2.56, 1 In 2.72
Zn6 0.8378 0.8378 0.6755  2 Zn 2.56, 1 In 2.72
In1 0.6654 0.6654 0.3308  3 Zn 2.69-2.72
In2 0.3346 0.3346 0.6692  3 Zn 2.69-2.72

Output
Total moment, μB/cell: 0.00


Stability, highest: B


## A
The following is a PBE calculation of a relaxed structure of Tm3ZnIn, from Alexandria via LeMat-Bulk.

a = 5.0438 Å, b = 7.8505 Å, c = 7.8505 Å
α = 120.00°, β = 90.00°, γ = 90.00°
Last column: nearest neighbours and their distance in Å.
Sites, in units of the cell vectors:
Tm1 0.2500 0.8100 0.1900  2 Zn 2.87, 2 In 3.19
Tm2 0.7500 0.1900 0.8100  2 Zn 2.87, 2 In 3.19
Tm3 0.2500 0.8100 0.6201  2 Zn 2.87, 2 In 3.19
Tm4 0.7500 0.1900 0.3799  2 Zn 2.87, 2 In 3.19
Tm5 0.2500 0.3799 0.1900  2 Zn 2.87, 2 In 3.19
Tm6 0.7500 0.6201 0.8100  2 Zn 2.87, 2 In 3.19
Zn1 0.0000 0.0000 0.0000  2 Zn 2.52
Zn2 0.5000 0.0000 0.0000  2 Zn 2.52
In1 0.2500 0.3334 0.6666  6 Tm 3.19
In2 0.7500 0.6666 0.3334  6 Tm 3.19

Output
Total moment, μB/cell: 0.00


## B
The following is a PBE calculation of a relaxed structure of Tm3ZnIn, from Alexandria via LeMat-Bulk.

a = 5.0353 Å, b = 5.0328 Å, c = 10.3645 Å
α = 90.00°, β = 75.94°, γ = 90.00°
Last column: nearest neighbours and their distance in Å.
Sites, in units of the cell vectors:
Tm1 0.7621 0.2500 0.1241  2 Zn 3.14, 2 In 3.17
Tm2 0.3861 0.2500 0.8761  2 Zn 3.14, 2 In 3.17
Tm3 0.5740 0.2500 0.5003  4 In 3.13, 4 Zn 3.15-3.16
Tm4 0.2622 0.7500 0.1239  2 Zn 3.14, 2 In 3.17
Tm5 0.8862 0.7500 0.8759  2 Zn 3.14, 2 In 3.17
Tm6 0.0743 0.7500 0.4997  4 In 3.13, 4 Zn 3.15-3.16
Zn1 0.4797 0.7500 0.6889  8 Tm 3.14-3.16
Zn2 0.1686 0.2500 0.3111  8 Tm 3.14-3.16
In1 0.6664 0.7500 0.3155  8 Tm 3.13-3.17
In2 0.9819 0.2500 0.6845  8 Tm 3.13-3.17

Output
Total moment, μB/cell: 0.00


Stability, highest: B


## A
The following is a PBE calculation of a relaxed structure of Tm4ZnIn3, from Alexandria via LeMat-Bulk.

a = 3.5602 Å, b = 3.5602 Å, c = 15.5575 Å
α = 90.00°, β = 90.00°, γ = 90.00°
Last column: nearest neighbours and their distance in Å.
Sites, in units of the cell vectors:
Zn1 0.5000 0.5000 0.0000  8 Tm 3.04
Tm1 0.0000 0.0000 0.8908  4 Zn 3.04, 4 In 3.22, 1 Tm 3.40
Tm2 0.0000 0.0000 0.1092  4 Zn 3.04, 4 In 3.22, 1 Tm 3.40
Tm3 0.0000 0.0000 0.3691  8 In 3.24, 4 Tm 3.56
Tm4 0.0000 0.0000 0.6309  8 In 3.24, 4 Tm 3.56
In1 0.5000 0.5000 0.2380  8 Tm 3.22-3.24, 4 In 3.56
In2 0.5000 0.5000 0.5000  8 Tm 3.24, 4 In 3.56
In3 0.5000 0.5000 0.7620  8 Tm 3.22-3.24, 4 In 3.56

Output
Total moment, μB/cell: 0.00


## B
The following is a PBE calculation of a relaxed structure of Tm4ZnIn3, from Alexandria via LeMat-Bulk.

a = 3.7026 Å, b = 4.6716 Å, c = 11.8238 Å
α = 90.00°, β = 90.00°, γ = 90.00°
Last column: nearest neighbours and their distance in Å.
Sites, in units of the cell vectors:
Tm1 0.5000 0.5000 0.3306  1 Zn 2.99, 4 In 3.17
Tm2 0.0000 0.5000 0.8495  5 In 3.13-3.21, 2 Zn 3.27
Tm3 0.0000 0.0000 0.1524  4 Zn 3.11, 3 In 3.17-3.22
Tm4 0.5000 0.0000 0.6617  7 In 3.14-3.40
Zn1 0.5000 0.5000 0.0773  2 In 2.92, 7 Tm 2.99-3.27
In1 0.0000 0.5000 0.5784  2 In 2.99, 5 Tm 3.14-3.21
In2 0.0000 0.0000 0.4209  2 In 2.99, 5 Tm 3.17
In3 0.5000 0.0000 0.9291  2 Zn 2.92, 7 Tm 3.13-3.22

Output
Total moment, μB/cell: 0.24


Stability, highest: A


## A
The following is a PBE calculation of a relaxed structure of TmZr2In, from Alexandria via LeMat-Bulk.

a = 3.2903 Å, b = 3.2903 Å, c = 10.6643 Å
α = 81.13°, β = 81.13°, γ = 60.00°
Last column: nearest neighbours and their distance in Å.
Sites, in units of the cell vectors:
Tm1 0.5000 0.5000 0.5000  6 Tm 3.29, 6 Zr 3.30
Zr1 0.2523 0.2523 0.2432  3 In 3.18, 6 Zr 3.29, 3 Tm 3.30
Zr2 0.7477 0.7477 0.7568  3 In 3.18, 6 Zr 3.29, 3 Tm 3.30
In1 0.0000 0.0000 0.0000  6 Zr 3.18, 6 In 3.29

Output
Total moment, μB/cell: 0.00


## B
The following is a PBE calculation of a relaxed structure of TmZr2In, from Alexandria via LeMat-Bulk.

a = 3.3121 Å, b = 3.3121 Å, c = 10.5558 Å
α = 80.97°, β = 80.97°, γ = 60.00°
Last column: nearest neighbours and their distance in Å.
Sites, in units of the cell vectors:
Tm1 0.4998 0.4998 0.5007  6 Zr 3.26-3.28, 6 Tm 3.31
Zr1 0.0816 0.0816 0.7553  3 In 3.18, 3 Tm 3.26, 6 Zr 3.31
Zr2 0.2521 0.2521 0.2436  3 In 3.17, 3 Tm 3.28, 6 Zr 3.31
In1 0.6665 0.6665 0.0005  6 Zr 3.17-3.18, 6 In 3.31

Output
Total moment, μB/cell: 0.00


## C
The following is a PBE calculation of a relaxed structure of TmZr2In, from Alexandria via LeMat-Bulk.

a = 4.5656 Å, b = 4.5523 Å, c = 4.5523 Å
α = 90.00°, β = 90.00°, γ = 90.00°
Last column: nearest neighbours and their distance in Å.
Sites, in units of the cell vectors:
Tm1 0.5000 0.0000 0.0000  4 In 3.22, 8 Zr 3.22
Zr1 0.0000 0.0000 0.5000  4 Zr 3.22, 4 In 3.22, 4 Tm 3.22
Zr2 0.0000 0.5000 0.0000  4 Zr 3.22, 4 In 3.22, 4 Tm 3.22
In1 0.5000 0.5000 0.5000  4 Tm 3.22, 8 Zr 3.22

Output
Total moment, μB/cell: 0.00


## D
The following is a PBE calculation of a relaxed structure of TmZr2In, from Alexandria via LeMat-Bulk.

a = 3.2613 Å, b = 3.2613 Å, c = 9.1314 Å
α = 90.00°, β = 90.00°, γ = 90.00°
Last column: nearest neighbours and their distance in Å.
Sites, in units of the cell vectors:
Tm1 0.5000 0.5000 0.0000  4 Tm 3.26, 8 Zr 3.34
Zr1 0.0000 0.0000 0.7351  4 In 3.15, 4 Zr 3.26, 4 Tm 3.34
Zr2 0.0000 0.0000 0.2649  4 In 3.15, 4 Zr 3.26, 4 Tm 3.34
In1 0.5000 0.5000 0.5000  8 Zr 3.15, 4 In 3.26

Output
Total moment, μB/cell: 0.00


Stability, highest: C


## A
The following is a PBE calculation of a relaxed structure of Tm2ZrIn3, from Alexandria via LeMat-Bulk.

a = 3.3001 Å, b = 3.3001 Å, c = 13.3652 Å
α = 90.00°, β = 90.00°, γ = 90.00°
Last column: nearest neighbours and their distance in Å.
Sites, in units of the cell vectors:
Tm1 0.5000 0.5000 0.8276  8 In 3.25-3.28, 4 Tm 3.30
Tm2 0.5000 0.5000 0.1724  8 In 3.25-3.28, 4 Tm 3.30
Zr1 0.5000 0.5000 0.5000  8 In 3.15, 4 Zr 3.30
In1 0.0000 0.0000 0.0000  8 Tm 3.28, 4 In 3.30
In2 0.0000 0.0000 0.6587  4 Zr 3.15, 4 Tm 3.25, 4 In 3.30
In3 0.0000 0.0000 0.3413  4 Zr 3.15, 4 Tm 3.25, 4 In 3.30

Output
Total moment, μB/cell: 0.62


## B
The following is a PBE calculation of a relaxed structure of Tm2ZrIn3, from Alexandria via LeMat-Bulk.

a = 8.7452 Å, b = 7.4450 Å, c = 7.4450 Å
α = 143.02°, β = 90.00°, γ = 90.00°
Last column: nearest neighbours and their distance in Å.
Sites, in units of the cell vectors:
Tm1 0.7197 0.3346 0.6655  8 In 3.20-3.27, 2 Zr 3.32, 2 Tm 3.36
Tm2 0.2197 0.3345 0.6654  8 In 3.20-3.27, 2 Zr 3.32, 2 Tm 3.36
Tm3 0.2197 0.6654 0.3345  8 In 3.20-3.27, 2 Zr 3.32, 2 Tm 3.36
Tm4 0.7197 0.6655 0.3346  8 In 3.20-3.27, 2 Zr 3.32, 2 Tm 3.36
Zr1 0.7197 0.0000 0.0000  8 In 3.17-3.22, 4 Tm 3.32
Zr2 0.2197 0.0000 0.0000  8 In 3.17-3.22, 4 Tm 3.32
In1 0.4696 0.1626 0.8374  2 Zr 3.17, 6 Tm 3.22-3.27, 4 In 3.29-3.42
In2 0.9696 0.1626 0.8374  2 Zr 3.17, 6 Tm 3.22-3.27, 4 In 3.29-3.42
In3 0.4696 0.5000 0.5000  4 Tm 3.20, 4 Zr 3.22, 4 In 3.29
In4 0.9696 0.5000 0.5000  4 Tm 3.20, 4 Zr 3.22, 4 In 3.29
In5 0.9696 0.8374 0.1626  2 Zr 3.17, 6 Tm 3.22-3.27, 4 In 3.29-3.42
In6 0.4696 0.8374 0.1626  2 Zr 3.17, 6 Tm 3.22-3.27, 4 In 3.29-3.42

Output
Total moment, μB/cell: 0.00


Stability, highest: A